Record 1
A relaxed YBAu crystal, computed with PBE-GGA.

Cell and atoms, written as POSCAR:
```
YBAu
1.0
-3.4264 -2.8173 -0.1554
-3.8530 1.0837 1.9188
-3.5389 0.9459 -2.5065
Au B Y
1 1 1
Direct
0.0000 0.0000 0.0000
0.2500 0.2500 0.2500
0.7500 0.7500 0.7500
```

Calculated values
- Energy above the lowest structure with this stoichiometry: 470 meV/atom
- Crystal system: cubic
- Volume: 61.8 Å³ per cell
- Electronic total energy: -15.41 eV/cell

Record 2
A relaxed YB2Au crystal, computed with PBE-GGA.

Cell and atoms, written as POSCAR:
```
YB2Au
1.0
-0.8988 2.9863 3.1909
-0.7288 4.2674 -1.0796
-4.1012 1.7214 0.3532
Au B Y
1 2 1
Direct
0.2500 0.2500 0.2500
0.0000 0.0000 0.0000
0.7500 0.7500 0.7500
0.5000 0.5000 0.5000
```

Calculated values
- Crystal system: cubic
- Volume: 62.8 Å³ per cell
- Electronic total energy: -19.55 eV/cell

Record 3
A relaxed YBAu crystal, computed with PBE-GGA.

Cell and atoms, written as POSCAR:
```
YBAu
1.0
0.0000 3.2094 3.2094
3.2094 0.0000 3.2094
3.2094 3.2094 0.0000
Au B Y
1 1 1
Direct
0.2500 0.2500 0.2500
0.7500 0.7500 0.7500
0.0000 0.0000 0.0000
```

Calculated values
- Energy above the lowest structure with this stoichiometry: 729 meV/atom
- Crystal system: cubic
- Volume: 66.1 Å³ per cell
- Electronic total energy: -14.63 eV/cell

Record 4
A relaxed YBAu crystal, computed with PBE-GGA.

Cell and atoms, written as POSCAR:
```
YBAu
1.0
1.5518 -3.7511 -1.2843
-2.1285 -3.5881 0.8505
-1.9191 -2.1333 -3.1455
Au B Y
1 1 1
Direct
0.2500 0.2500 0.2500
0.0000 0.0000 0.0000
0.7500 0.7500 0.7500
```

Calculated values
- Energy above the lowest structure with this stoichiometry: 0 meV/atom
- Crystal system: cubic
- Volume: 54.6 Å³ per cell
- Electronic total energy: -16.82 eV/cell